1.
First-principles (PBE) data for a relaxed B5C7 crystal, as listed in Alexandria via LeMat-Bulk.

Properties
Energy above the most stable polymorph in this dataset (meV per atom): 96
ΔE_f (eV per atom): 0.354

a b c (Å): 4.6085 2.6071 6.7283
angles (deg): 90.00 91.23 90.00
Last column: nearest neighbours and their distance in Å.
Space group Pm (No. 6)
Asymmetric unit:
B: 0.0000 0.0000 0.0000 x1  1 C 1.54
B: 0.1609 0.5000 0.8631 x1  2 C 1.64-1.71, 2 B 1.77
B: 0.3242 0.0000 0.5370 x1  4 C 1.65-1.70
B: 0.5797 0.0000 0.8730 x1  3 C 1.54-1.64
B: 0.8228 0.5000 0.2520 x1  3 C 1.54-1.60
C: 0.1442 0.5000 0.6199 x1  1 C 1.44
C: 0.3284 0.0000 0.2887 x1  3 C 1.57, 1 B 1.67
C: 0.4790 0.5000 0.2101 x1  3 C 1.56-1.57, 1 B 1.60
C: 0.4938 0.5000 0.9789 x1  3 B 1.54-1.71, 1 C 1.56
C: 0.6659 0.0000 0.6380 x1  2 C 1.52, 2 B 1.64-1.70
C: 0.8313 0.5000 0.6108 x1  3 C 1.44-1.52
C: 0.9975 0.0000 0.2294 x1  3 B 1.54, 1 C 1.57



2.
First-principles (PBE) data for a relaxed DyHo9Er2 crystal, as listed in Alexandria via LeMat-Bulk.

Properties
Energy above the most stable polymorph in this dataset (meV per atom): 29
ΔE_f (eV per atom): 0.052

a b c (Å): 11.1065 11.1065 3.4664
angles (deg): 90.00 90.00 120.00
Last column: nearest neighbours and their distance in Å.
Space group P6/mmm (No. 191)
Asymmetric unit:
Dy: 0.0000 0.0000 0.0000 x1  2 Dy 3.47, 12 Ho 3.82
Ho: 0.0000 0.5000 0.0000 x3  2 Er 3.21, 10 Ho 3.47-3.56
Ho: 0.1767 0.3534 0.5000 x6  8 Ho 3.40-3.56, 2 Er 3.48
Er: 0.3333 0.6667 0.0000 x2  9 Ho 3.21-3.48, 2 Er 3.47



3.
First-principles (PBE) data for a relaxed LiCdRh2 crystal, as listed in Alexandria via LeMat-Bulk.

Properties
ΔE_f (eV per atom): 0.200

a b c (Å): 3.7600 3.7600 18.7344
angles (deg): 90.00 90.00 90.00
Last column: nearest neighbours and their distance in Å.
Space group I-42d (No. 122)
Asymmetric unit:
Li: 0.0000 0.0000 0.0000 x4  4 Cd 2.66, 4 Rh 2.66
Cd: 0.0000 0.0000 0.5000 x4  4 Li 2.66, 4 Rh 2.73
Rh: 0.2263 0.2500 0.1250 x8  4 Rh 2.54-2.79, 2 Li 2.66, 2 Cd 2.73



4.
First-principles (PBE) data for a relaxed Zn3AgPb crystal, as listed in Alexandria via LeMat-Bulk.

Properties
Energy above the most stable polymorph in this dataset (meV per atom): 0
ΔE_f (eV per atom): 0.333

a b c (Å): 4.9135 4.9135 4.9135
angles (deg): 90.00 90.00 90.00
Last column: nearest neighbours and their distance in Å.
Space group Pm-3m (No. 221)
Asymmetric unit:
Zn: 0.0000 0.0000 0.5000 x3  2 Ag 2.46
Ag: 0.0000 0.0000 0.0000 x1  6 Zn 2.46
Pb: 0.5000 0.5000 0.5000 x1  12 Zn 3.47



5.
First-principles (PBE) data for a relaxed Sc2NiAsBr crystal, as listed in Alexandria via LeMat-Bulk.

Properties
Raw formation energy (eV per atom): 0.386

a b c (Å): 5.1049 5.1049 5.2055
angles (deg): 90.00 90.00 90.00
Last column: nearest neighbours and their distance in Å.
Space group P4/mmm (No. 123)
Asymmetric unit:
Sc: 0.0000 0.5000 0.0000 x2  2 As 2.55
Ni: 0.0000 0.0000 0.5000 x1  4 Br 3.61, 8 Sc 3.65
As: 0.5000 0.5000 0.0000 x1  4 Sc 2.55, 2 Br 2.60
Br: 0.5000 0.5000 0.5000 x1  2 As 2.60



6.
First-principles (PBE) data for a relaxed BeTlGaCu2 crystal, as listed in Alexandria via LeMat-Bulk.

Properties
ΔE_f (eV per atom): 0.514

a b c (Å): 4.6909 4.6909 4.3227
angles (deg): 90.00 90.00 90.00
Last column: nearest neighbours and their distance in Å.
Space group P4/mmm (No. 123)
Asymmetric unit:
Be: 0.0000 0.0000 0.0000 x1  2 Ga 2.16
Tl: 0.5000 0.5000 0.0000 x1  8 Cu 3.19, 4 Be 3.32
Ga: 0.0000 0.0000 0.5000 x1  2 Be 2.16, 4 Cu 2.35
Cu: 0.0000 0.5000 0.5000 x2  2 Ga 2.35